Entry 1:
DFT (PBE) results for CuRe2SbW after structural relaxation.

Summary:
SG: P4/mmm, No. 123
Formation energy without anion corrections: 205 kJ/mol of atoms
Spin magnetization: 1.821 μB/cell

Unit cell a=4.8106 b=4.8106 c=5.1014 alpha=90.00 beta=90.00 gamma=90.00
Sites, in units of the cell vectors:
Cu: 0.0000 0.0000 0.0000
Re: 0.0000 0.5000 0.5000
Re: 0.5000 0.0000 0.5000
Sb: 0.5000 0.5000 0.0000
W: 0.5000 0.5000 0.5000


Entry 2:
DFT (PBE) results for Sc2CuRe after structural relaxation.

Summary:
SG: I-42d, No. 122
Formation energy: 0.6519 eV/atom
Spin magnetization: 0.000 μB/cell

Unit cell a=3.9842 b=3.9842 c=18.4726 alpha=90.00 beta=90.00 gamma=90.00
Sites, in units of the cell vectors:
Sc: 0.2460 0.2500 0.1250
Sc: 0.2500 0.7460 0.3750
Sc: 0.2500 0.7540 0.8750
Sc: 0.2540 0.2500 0.6250
Sc: 0.7460 0.7500 0.6250
Sc: 0.7500 0.2460 0.8750
Sc: 0.7500 0.2540 0.3750
Sc: 0.7540 0.7500 0.1250
Cu: 0.0000 0.0000 0.5000
Cu: 0.0000 0.5000 0.7500
Cu: 0.5000 0.0000 0.2500
Cu: 0.5000 0.5000 0.0000
Re: 0.0000 0.0000 0.0000
Re: 0.0000 0.5000 0.2500
Re: 0.5000 0.0000 0.7500
Re: 0.5000 0.5000 0.5000


Entry 3:
DFT (PBE) results for ScCuRe after structural relaxation.

Summary:
SG: F-43m, No. 216
Formation energy: 0.6090 eV/atom
Spin magnetization: 0.014 μB/cell

Unit cell a=5.9721 b=5.9721 c=5.9721 alpha=90.00 beta=90.00 gamma=90.00
Sites, in units of the cell vectors:
Sc: 0.0000 0.0000 0.0000
Sc: 0.0000 0.5000 0.5000
Sc: 0.5000 0.0000 0.5000
Sc: 0.5000 0.5000 0.0000
Cu: 0.2500 0.2500 0.2500
Cu: 0.2500 0.7500 0.7500
Cu: 0.7500 0.2500 0.7500
Cu: 0.7500 0.7500 0.2500
Re: 0.0000 0.0000 0.5000
Re: 0.0000 0.5000 0.0000
Re: 0.5000 0.0000 0.0000
Re: 0.5000 0.5000 0.5000


Entry 4:
DFT (PBE) results for ScCu2Re2 after structural relaxation.

Summary:
SG: I4/mmm, No. 139
Formation energy: 0.3918 eV/atom
Spin magnetization: 0.000 μB/cell

Unit cell a=3.8676 b=3.8676 c=11.1617 alpha=90.00 beta=90.00 gamma=90.00
Sites, in units of the cell vectors:
Sc: 0.0000 0.0000 0.0000
Sc: 0.5000 0.5000 0.5000
Cu: 0.0000 0.5000 0.2500
Cu: 0.0000 0.5000 0.7500
Cu: 0.5000 0.0000 0.2500
Cu: 0.5000 0.0000 0.7500
Re: 0.0000 0.0000 0.3980
Re: 0.0000 0.0000 0.6020
Re: 0.5000 0.5000 0.1020
Re: 0.5000 0.5000 0.8980


Entry 5:
DFT (PBE) results for Sc2CuRe after structural relaxation.

Summary:
SG: F-43m, No. 216
Formation energy: 0.2007 eV/atom
Spin magnetization: 0.000 μB/cell

Unit cell a=6.4677 b=6.4677 c=6.4677 alpha=90.00 beta=90.00 gamma=90.00
Sites, in units of the cell vectors:
Sc: 0.0000 0.0000 0.0000
Sc: 0.0000 0.5000 0.5000
Sc: 0.2500 0.2500 0.2500
Sc: 0.2500 0.7500 0.7500
Sc: 0.5000 0.0000 0.5000
Sc: 0.5000 0.5000 0.0000
Sc: 0.7500 0.2500 0.7500
Sc: 0.7500 0.7500 0.2500
Cu: 0.0000 0.0000 0.5000
Cu: 0.0000 0.5000 0.0000
Cu: 0.5000 0.0000 0.0000
Cu: 0.5000 0.5000 0.5000
Re: 0.2500 0.2500 0.7500
Re: 0.2500 0.7500 0.2500
Re: 0.7500 0.2500 0.2500
Re: 0.7500 0.7500 0.7500


Entry 6:
DFT (PBE) results for Sc2CuRe after structural relaxation.

Summary:
SG: Cm, No. 8
Formation energy: -0.0172 eV/atom
Spin magnetization: 0.000 μB/cell

Unit cell a=10.2021 b=3.0461 c=4.7666 alpha=90.00 beta=107.12 gamma=90.00
Sites, in units of the cell vectors:
Sc: 0.0000 0.0000 0.0000
Sc: 0.2072 0.0000 0.6388
Sc: 0.5000 0.5000 0.0000
Sc: 0.7072 0.5000 0.6388
Cu: 0.4528 0.0000 0.4657
Cu: 0.9528 0.5000 0.4657
Re: 0.2485 0.5000 0.1648
Re: 0.7485 0.0000 0.1648


Entry 7:
DFT (PBE) results for ScCuRe after structural relaxation.

Summary:
SG: Fmm2, No. 42
Formation energy: 0.1556 eV/atom
Spin magnetization: 0.000 μB/cell

Unit cell a=3.9369 b=3.9440 c=12.1935 alpha=90.00 beta=90.00 gamma=90.00
Sites, in units of the cell vectors:
Sc: 0.0000 0.0000 0.0000
Sc: 0.0000 0.5000 0.5000
Sc: 0.5000 0.0000 0.5000
Sc: 0.5000 0.5000 0.0000
Cu: 0.0000 0.0000 0.6724
Cu: 0.0000 0.5000 0.1724
Cu: 0.5000 0.0000 0.1724
Cu: 0.5000 0.5000 0.6724
Re: 0.0000 0.0000 0.3212
Re: 0.0000 0.5000 0.8212
Re: 0.5000 0.0000 0.8212
Re: 0.5000 0.5000 0.3212


Entry 8:
DFT (PBE) results for ScCuRe after structural relaxation.

Summary:
SG: Imm2, No. 44
Formation energy: 0.1653 eV/atom
Spin magnetization: 0.000 μB/cell

Unit cell a=2.9006 b=3.5302 c=9.3801 alpha=90.00 beta=90.00 gamma=90.00
Sites, in units of the cell vectors:
Sc: 0.0000 0.0000 0.0000
Sc: 0.5000 0.5000 0.5000
Cu: 0.0000 0.0000 0.6823
Cu: 0.5000 0.5000 0.1823
Re: 0.0000 0.0000 0.3175
Re: 0.5000 0.5000 0.8175


Entry 9:
DFT (PBE) results for Sc2CuRe after structural relaxation.

Summary:
SG: R3m, No. 160
Formation energy: 0.3344 eV/atom
Spin magnetization: 2.484 μB/cell

Unit cell a=2.9413 b=2.9413 c=28.4746 alpha=90.00 beta=90.00 gamma=120.00
Sites, in units of the cell vectors:
Sc: 0.0000 0.0000 0.0000
Sc: 0.0000 0.0000 0.2347
Sc: 0.3333 0.6667 0.6667
Sc: 0.3333 0.6667 0.9014
Sc: 0.6667 0.3333 0.3333
Sc: 0.6667 0.3333 0.5681
Cu: 0.0000 0.0000 0.4879
Cu: 0.3333 0.6667 0.1546
Cu: 0.6667 0.3333 0.8212
Re: 0.0000 0.0000 0.7486
Re: 0.3333 0.6667 0.4153
Re: 0.6667 0.3333 0.0820


Entry 10:
DFT (PBE) results for Sc2CuRe after structural relaxation.

Summary:
SG: R-3m, No. 166
Formation energy: 0.1316 eV/atom
Spin magnetization: 0.000 μB/cell

Unit cell a=3.1588 b=3.1588 c=25.3731 alpha=90.00 beta=90.00 gamma=120.00
Sites, in units of the cell vectors:
Sc: 0.0000 0.0000 0.2460
Sc: 0.0000 0.0000 0.7540
Sc: 0.3333 0.6667 0.4206
Sc: 0.3333 0.6667 0.9127
Sc: 0.6667 0.3333 0.0873
Sc: 0.6667 0.3333 0.5794
Cu: 0.0000 0.0000 0.0000
Cu: 0.3333 0.6667 0.6667
Cu: 0.6667 0.3333 0.3333
Re: 0.0000 0.0000 0.5000
Re: 0.3333 0.6667 0.1667
Re: 0.6667 0.3333 0.8333


Entry 11:
DFT (PBE) results for Sc2Cu2Re after structural relaxation.

Summary:
SG: P4/mbm, No. 127
Formation energy: 0.0418 eV/atom
Spin magnetization: 0.000 μB/cell

Unit cell a=7.3630 b=7.3630 c=2.9891 alpha=90.00 beta=90.00 gamma=90.00
Sites, in units of the cell vectors:
Sc: 0.1825 0.3175 0.0000
Sc: 0.3175 0.8175 0.0000
Sc: 0.6825 0.1825 0.0000
Sc: 0.8175 0.6825 0.0000
Cu: 0.1168 0.6168 0.5000
Cu: 0.3832 0.1168 0.5000
Cu: 0.6168 0.8832 0.5000
Cu: 0.8832 0.3832 0.5000
Re: 0.0000 0.0000 0.5000
Re: 0.5000 0.5000 0.5000


Entry 12:
DFT (PBE) results for Sc2CuRe after structural relaxation.

Summary:
SG: P4/mmm, No. 123
Formation energy: -0.1519 eV/atom
Spin magnetization: 0.000 μB/cell

Unit cell a=3.2598 b=3.2598 c=6.6006 alpha=90.00 beta=90.00 gamma=90.00
Sites, in units of the cell vectors:
Sc: 0.0000 0.0000 0.2370
Sc: 0.0000 0.0000 0.7630
Cu: 0.5000 0.5000 0.5000
Re: 0.5000 0.5000 0.0000


Number 1: VASP energy -35.4 eV/cell. Number 2: VASP energy -106.4 eV/cell. Number 3: VASP energy -84.2 eV/cell. Number 4: VASP energy -74.9 eV/cell. Number 5: VASP energy -113.6 eV/cell. Number 6: VASP energy -58.6 eV/cell. Number 7: VASP energy -89.6 eV/cell. Number 8: VASP energy -44.8 eV/cell. Number 9: VASP energy -83.6 eV/cell. Number 10: VASP energy -86.0 eV/cell. Number 11: VASP energy -66.2 eV/cell. Number 12: VASP energy -29.8 eV/cell.